[1]
# MgTc2Cl (GGA-PBEsol, optimized geometry)
# DOS(E_F): 0.92 states/eV per atom
# space group: P4/mmm, No. 123
# formation energy (no corrections): 0.510 eV/atom
# total moment: 0.00 μB per cell
data_MgTc2Cl
_space_group_name_H-M_alt 'P 1'
_space_group_IT_number 1
_cell_length_a 3.448
_cell_length_b 3.448
_cell_length_c 6.027
_cell_angle_alpha 90.00
_cell_angle_beta 90.00
_cell_angle_gamma 90.00
loop_
_space_group_symop_operation_xyz
'x,y,z'
loop_
_atom_site_label
_atom_site_type_symbol
_atom_site_fract_x
_atom_site_fract_y
_atom_site_fract_z
Tc1 Tc 0.000 0.500 0.000
Tc2 Tc 0.500 0.000 0.000
Cl1 Cl 0.500 0.500 0.500
Mg1 Mg 0.000 0.000 0.500

[2]
# MgTc3Cl (GGA-PBEsol, optimized geometry)
# DOS(E_F): 1.32 states/eV per atom
# space group: Pm-3m, No. 221
# E above lowest polymorph: 1716 meV/atom
# formation energy (no corrections): 2.578 eV/atom
# total moment: 7.73 μB per cell
data_MgTc3Cl
_space_group_name_H-M_alt 'P 1'
_space_group_IT_number 1
_cell_length_a 4.690
_cell_length_b 4.690
_cell_length_c 4.690
_cell_angle_alpha 90.00
_cell_angle_beta 90.00
_cell_angle_gamma 90.00
loop_
_space_group_symop_operation_xyz
'x,y,z'
loop_
_atom_site_label
_atom_site_type_symbol
_atom_site_fract_x
_atom_site_fract_y
_atom_site_fract_z
Cl1 Cl 0.500 0.500 0.500
Tc1 Tc 0.500 0.000 0.000
Tc2 Tc 0.000 0.500 0.000
Tc3 Tc 0.000 0.000 0.500
Mg1 Mg 0.000 0.000 0.000

[3]
# YMgTc2Cl (GGA-PBEsol, optimized geometry)
# DOS(E_F): 0.96 states/eV per atom
# space group: P4/mmm, No. 123
# formation energy (no corrections): 0.433 eV/atom
# total moment: 0.00 μB per cell
data_YMgTc2Cl
_space_group_name_H-M_alt 'P 1'
_space_group_IT_number 1
_cell_length_a 4.407
_cell_length_b 4.407
_cell_length_c 4.851
_cell_angle_alpha 90.00
_cell_angle_beta 90.00
_cell_angle_gamma 90.00
loop_
_space_group_symop_operation_xyz
'x,y,z'
loop_
_atom_site_label
_atom_site_type_symbol
_atom_site_fract_x
_atom_site_fract_y
_atom_site_fract_z
Cl1 Cl 0.000 0.000 0.000
Y1 Y 0.000 0.000 0.500
Tc1 Tc 0.500 0.000 0.000
Tc2 Tc 0.000 0.500 0.000
Mg1 Mg 0.500 0.500 0.500

[4]
# MgTeCl (GGA-PBEsol, optimized geometry)
# DOS(E_F): 0.71 states/eV per atom
# space group: P3m1, No. 156
# formation energy (no corrections): -0.591 eV/atom
# total moment: 0.00 μB per cell
data_MgTeCl
_space_group_name_H-M_alt 'P 1'
_space_group_IT_number 1
_cell_length_a 3.405
_cell_length_b 4.752
_cell_length_c 4.752
_cell_angle_alpha 120.00
_cell_angle_beta 90.00
_cell_angle_gamma 90.00
loop_
_space_group_symop_operation_xyz
'x,y,z'
loop_
_atom_site_label
_atom_site_type_symbol
_atom_site_fract_x
_atom_site_fract_y
_atom_site_fract_z
Mg1 Mg 0.835 0.667 0.333
Te1 Te 0.333 0.333 0.667
Cl1 Cl 0.832 0.000 0.000

[5]
# Mg2TeCl (GGA-PBEsol, optimized geometry)
# DOS(E_F): 0.34 states/eV per atom
# space group: R-3m, No. 166
# E above lowest polymorph: 0 meV/atom
# formation energy (no corrections): -0.803 eV/atom
# total moment: 0.00 μB per cell
data_Mg2TeCl
_space_group_name_H-M_alt 'P 1'
_space_group_IT_number 1
_cell_length_a 4.239
_cell_length_b 4.239
_cell_length_c 6.647
_cell_angle_alpha 71.40
_cell_angle_beta 71.40
_cell_angle_gamma 60.00
loop_
_space_group_symop_operation_xyz
'x,y,z'
loop_
_atom_site_label
_atom_site_type_symbol
_atom_site_fract_x
_atom_site_fract_y
_atom_site_fract_z
Mg1 Mg 0.246 0.246 0.261
Mg2 Mg 0.754 0.754 0.739
Cl1 Cl 0.500 0.500 0.500
Te1 Te 0.000 0.000 0.000

[6]
# Mg2TeCl (GGA-PBEsol, optimized geometry)
# DOS(E_F): 0.54 states/eV per atom
# space group: F-43m, No. 216
# E above lowest polymorph: 520 meV/atom
# formation energy (no corrections): -0.283 eV/atom
# total moment: 0.00 μB per cell
data_Mg2TeCl
_space_group_name_H-M_alt 'P 1'
_space_group_IT_number 1
_cell_length_a 5.103
_cell_length_b 5.103
_cell_length_c 5.103
_cell_angle_alpha 60.00
_cell_angle_beta 60.00
_cell_angle_gamma 60.00
loop_
_space_group_symop_operation_xyz
'x,y,z'
loop_
_atom_site_label
_atom_site_type_symbol
_atom_site_fract_x
_atom_site_fract_y
_atom_site_fract_z
Te1 Te 0.250 0.250 0.250
Mg1 Mg 0.750 0.750 0.750
Mg2 Mg 0.000 0.000 0.000
Cl1 Cl 0.500 0.500 0.500

Q: formation energy (no corrections) of number 3 (YMgTc2Cl)?
A: 0.433 eV/atom

Q: Which of these has the highest formation energy (no corrections)?
A: MgTc3Cl

Copy entry 6 word for word.
# Mg2TeCl (GGA-PBEsol, optimized geometry)
# DOS(E_F): 0.54 states/eV per atom
# space group: F-43m, No. 216
# E above lowest polymorph: 520 meV/atom
# formation energy (no corrections): -0.283 eV/atom
# total moment: 0.00 μB per cell
data_Mg2TeCl
_space_group_name_H-M_alt 'P 1'
_space_group_IT_number 1
_cell_length_a 5.103
_cell_length_b 5.103
_cell_length_c 5.103
_cell_angle_alpha 60.00
_cell_angle_beta 60.00
_cell_angle_gamma 60.00
loop_
_space_group_symop_operation_xyz
'x,y,z'
loop_
_atom_site_label
_atom_site_type_symbol
_atom_site_fract_x
_atom_site_fract_y
_atom_site_fract_z
Te1 Te 0.250 0.250 0.250
Mg1 Mg 0.750 0.750 0.750
Mg2 Mg 0.000 0.000 0.000
Cl1 Cl 0.500 0.500 0.500